(1)
Computed, not measured: a relaxed structure of Cu5C at the PBE level of DFT.

POSCAR file:
```
Cu5C
1.0
1.371 -6.094 0.000
1.371 6.094 0.000
0.000 0.000 4.035
Cu C
5 1
Direct
0.000 0.000 0.000
0.129 0.871 0.500
0.329 0.671 0.000
0.671 0.329 0.000
0.871 0.129 0.500
0.500 0.500 0.500
```

Output
SG: Cmmm (65)
V (Å³/cell): 67.4
Energy relative to the elements (meV/atom): 663
Uncorrected energy (eV per cell): -25.730
Distance to the lowest polymorph of the same formula (eV per atom): 0.185

=====

(2)
Computed, not measured: a relaxed structure of Cu3C2 at the PBE level of DFT.

POSCAR file:
```
Cu3C2
1.0
3.375 0.000 0.000
-1.688 2.923 0.000
0.000 0.000 5.114
Cu C
3 2
Direct
0.000 0.000 0.000
0.333 0.667 0.336
0.667 0.333 0.664
0.333 0.667 0.749
0.667 0.333 0.251
```

Output
SG: P-3m1 (164)
V (Å³/cell): 50.5
Energy relative to the elements (meV/atom): 1198
Uncorrected energy (eV per cell): -24.749
Distance to the lowest polymorph of the same formula (eV per atom): 0.073

=====

uncorrected energy of number 1 (Cu5C)?
-25.730 eV per cell